The following is a DFT calculation (PBE) of an optimized crystal structure of NiHgBiOs.

Summary:
VASP energy, eV/atom: -4.29

a b c (Å): 4.741 4.741 4.741
angles (deg): 60.00 60.00 60.00
Fractional coordinates of all 4 atoms:
1 Os 0.500 0.500 0.500
2 Hg 0.250 0.250 0.250
3 Ni 0.750 0.750 0.750
4 Bi 0.000 0.000 0.000